No. 1
Computed, not measured: BaNaS2 after structural relaxation at the PBE level of DFT.

Computed properties:
Calculated density (g/cm3): 3.60
Raw formation energy (eV/atom): -1.162
Magnetic moment (μB per cell): 3.9

Cell lengths 7.4534, 7.4534, 7.4534 Å; angles 90.00, 90.00, 90.00 degrees
Positions (direct):
Ba  0.0000  0.0000  0.0000
Ba  0.0000  0.5000  0.5000
Ba  0.5000  0.0000  0.5000
Ba  0.5000  0.5000  0.0000
Na  0.0000  0.0000  0.5000
Na  0.0000  0.5000  0.0000
Na  0.5000  0.0000  0.0000
Na  0.5000  0.5000  0.5000
S  0.2500  0.2500  0.2500
S  0.2500  0.2500  0.7500
S  0.2500  0.7500  0.2500
S  0.2500  0.7500  0.7500
S  0.7500  0.2500  0.2500
S  0.7500  0.2500  0.7500
S  0.7500  0.7500  0.2500
S  0.7500  0.7500  0.7500

---

No. 2
Computed, not measured: CsLiGe2I6 after structural relaxation at the PBE level of DFT.

Computed properties:
Calculated density (g/cm3): 3.39
Raw formation energy (eV/atom): -0.691
Magnetic moment (μB per cell): 0.0

Cell lengths 10.4953, 10.4953, 10.7157 Å; angles 108.36, 108.36, 98.01 degrees
Positions (direct):
Cs  0.1187  0.8813  0.7500
Cs  0.8813  0.1187  0.2500
Li  0.2029  0.7971  0.2500
Li  0.7971  0.2029  0.7500
Ge  0.2866  0.4370  0.8365
Ge  0.4370  0.2866  0.3365
Ge  0.5630  0.7134  0.6635
Ge  0.7134  0.5630  0.1635
I  0.0379  0.2131  0.6794
I  0.1612  0.6250  0.9681
I  0.2131  0.0379  0.1794
I  0.3218  0.4080  0.5281
I  0.3750  0.8388  0.5319
I  0.4080  0.3218  0.0281
I  0.5920  0.6782  0.9719
I  0.6250  0.1612  0.4681
I  0.6782  0.5920  0.4719
I  0.7869  0.9621  0.8206
I  0.8388  0.3750  0.0319
I  0.9621  0.7869  0.3206

---

No. 3
Computed, not measured: CrBiCl3 after structural relaxation at the PBE level of DFT.

Computed properties:
ΔE to the lowest computed polymorph (meV per atom): 29.1
Calculated density (g/cm3): 5.74
Raw formation energy (eV/atom): -0.004
Magnetic moment (μB per cell): 0.0

Cell lengths 4.7359, 4.7359, 4.7359 Å; angles 90.00, 90.00, 90.00 degrees
Positions (direct):
Cr  0.0000  0.0000  0.0000
Bi  0.5000  0.5000  0.5000
Cl  0.0000  0.0000  0.5000
Cl  0.0000  0.5000  0.0000
Cl  0.5000  0.0000  0.0000

---

No. 4
Computed, not measured: DyErCoHg after structural relaxation at the PBE level of DFT.

Computed properties:
Calculated density (g/cm3): 11.05
E_form (kJ/mol of atoms): -22.92
Magnetic moment (μB per cell): 2.4

Cell lengths 7.0749, 7.0749, 7.0749 Å; angles 90.00, 90.00, 90.00 degrees
Positions (direct):
Dy  0.0000  0.0000  0.0000
Dy  0.0000  0.5000  0.5000
Dy  0.5000  0.0000  0.5000
Dy  0.5000  0.5000  0.0000
Er  0.0000  0.0000  0.5000
Er  0.0000  0.5000  0.0000
Er  0.5000  0.0000  0.0000
Er  0.5000  0.5000  0.5000
Co  0.2500  0.2500  0.2500
Co  0.2500  0.7500  0.7500
Co  0.7500  0.2500  0.7500
Co  0.7500  0.7500  0.2500
Hg  0.2500  0.2500  0.7500
Hg  0.2500  0.7500  0.2500
Hg  0.7500  0.2500  0.2500
Hg  0.7500  0.7500  0.7500

---

No. 5
Computed, not measured: Ac2ErTm2Hg5 after structural relaxation at the PBE level of DFT.

Computed properties:
Calculated density (g/cm3): 11.25
E_form (kJ/mol of atoms): -34.01
Magnetic moment (μB per cell): 1.3

Cell lengths 12.1505, 12.1505, 3.9249 Å; angles 90.00, 90.00, 90.00 degrees
Positions (direct):
Ac  0.1729  0.3271  0.0000
Ac  0.3271  0.8271  0.0000
Ac  0.6729  0.1729  0.0000
Ac  0.8271  0.6729  0.0000
Er  0.0000  0.0000  0.0000
Er  0.5000  0.5000  0.0000
Tm  0.1294  0.6294  0.0000
Tm  0.3706  0.1294  0.0000
Tm  0.6294  0.8706  0.0000
Tm  0.8706  0.3706  0.0000
Hg  0.0000  0.5000  0.5000
Hg  0.0763  0.8170  0.5000
Hg  0.1830  0.0763  0.5000
Hg  0.3170  0.5763  0.5000
Hg  0.4237  0.3170  0.5000
Hg  0.5000  0.0000  0.5000
Hg  0.5763  0.6830  0.5000
Hg  0.6830  0.4237  0.5000
Hg  0.8170  0.9237  0.5000
Hg  0.9237  0.1830  0.5000

---

No. 6
Computed, not measured: Ba2ThO4 after structural relaxation at the PBE level of DFT.

Computed properties:
Calculated density (g/cm3): 6.83
Raw formation energy (eV/atom): -3.118
Magnetic moment (μB per cell): 0.0

Cell lengths 6.5265, 11.2581, 3.7768 Å; angles 90.00, 90.00, 90.00 degrees
Positions (direct):
Ba  0.0561  0.1778  0.0000
Ba  0.4439  0.6778  0.0000
Ba  0.5561  0.3222  0.0000
Ba  0.9439  0.8222  0.0000
Th  0.0000  0.5000  0.5000
Th  0.5000  0.0000  0.5000
O  0.1393  0.6864  0.5000
O  0.2155  0.4589  0.0000
O  0.2845  0.9589  0.0000
O  0.3607  0.1864  0.5000
O  0.6393  0.8136  0.5000
O  0.7155  0.0411  0.0000
O  0.7845  0.5411  0.0000
O  0.8607  0.3136  0.5000